(1)
{
  "formula": "Tl2SnPd2",
  "functional": "GGA-PBE",
  "state": "optimized geometry",
  "e_above_lowest_polymorph_mev_per_atom": 0.0,
  "lattice": [[7.7185, 0.0000, 0.0000], [0.0000, 7.7185, 0.0000], [0.0000, 0.0000, 3.6346]],
  "species": ["Tl", "Tl", "Tl", "Tl", "Sn", "Sn", "Pd", "Pd", "Pd", "Pd"],
  "fractional_positions": [[0.1595, 0.3405, 0.0000], [0.3405, 0.8405, 0.0000], [0.6595, 0.1595, 0.0000], [0.8405, 0.6595, 0.0000], [0.0000, 0.0000, 0.5000], [0.5000, 0.5000, 0.5000], [0.1388, 0.6388, 0.5000], [0.3612, 0.1388, 0.5000], [0.6388, 0.8612, 0.5000], [0.8612, 0.3612, 0.5000]]
}

=====

(2)
{
  "formula": "TlSnPd5",
  "functional": "GGA-PBE",
  "state": "optimized geometry",
  "lattice": [[4.9448, -2.7333, 0.0000], [4.9448, 2.7333, 0.0000], [-4.6031, 0.0000, 9.6195]],
  "species": ["Tl", "Tl", "Sn", "Sn", "Pd", "Pd", "Pd", "Pd", "Pd", "Pd", "Pd", "Pd", "Pd", "Pd"],
  "fractional_positions": [[0.0000, 0.0000, 0.0000], [0.0000, 0.0000, 0.5000], [0.4722, 0.5278, 0.7500], [0.5278, 0.4722, 0.2500], [0.0118, 0.4794, 0.2456], [0.0318, 0.9682, 0.2500], [0.2784, 0.2792, 0.9998], [0.2792, 0.2784, 0.4998], [0.4794, 0.0118, 0.7456], [0.5206, 0.9882, 0.2544], [0.7208, 0.7216, 0.5002], [0.7216, 0.7208, 0.0002], [0.9682, 0.0318, 0.7500], [0.9882, 0.5206, 0.7544]]
}

=====

(3)
{
  "formula": "Tl2SnPd8",
  "functional": "GGA-PBE",
  "state": "optimized geometry",
  "e_above_lowest_polymorph_mev_per_atom": 0.0,
  "lattice": [[7.3381, -2.1018, 0.0000], [7.3381, 2.1018, 0.0000], [-1.7348, 0.0000, 6.1110]],
  "species": ["Tl", "Tl", "Sn", "Pd", "Pd", "Pd", "Pd", "Pd", "Pd", "Pd", "Pd"],
  "fractional_positions": [[0.2151, 0.2151, 0.1583], [0.7849, 0.7849, 0.8417], [0.5000, 0.5000, 0.5000], [0.0357, 0.0357, 0.2339], [0.1449, 0.1449, 0.6944], [0.3276, 0.3276, 0.5850], [0.4111, 0.4111, 0.0478], [0.5889, 0.5889, 0.9522], [0.6724, 0.6724, 0.4150], [0.8551, 0.8551, 0.3056], [0.9643, 0.9643, 0.7661]]
}

=====

Calculated volume, 21.65 18.57 17.14 Å³ per atom (same order as the records).
Calculated calculated formation energy, -0.11 -0.21 -0.27 eV/atom (same order as the records).